Computed, not measured: a crystal of AlRhF2 relaxed with PBEsol at the SCAN level of DFT.

Structure (POSCAR):
```
AlRhF2
1.0
0.000 2.880 2.880
2.880 0.000 2.880
2.880 2.880 0.000
Al Rh F
1 1 2
direct
0.000 0.000 0.000
0.500 0.500 0.500
0.250 0.250 0.250
0.750 0.750 0.750
```

Summary:
Energy   -12.816 eV per atom
Mass density   5.84 g cm⁻³
Space-group type   Fm-3m
Size of the total moment   1.35 μB/f.u.
Energy relative to the elements, uncorrected   -0.665 eV per atom